Entry 1:
# TeRuBr2 GGA-PBE relaxed
data_TeRuBr2
_cell_length_a 3.818
_cell_length_b 5.982
_cell_length_c 6.508
_cell_angle_alpha 47.71
_cell_angle_beta 90.00
_cell_angle_gamma 90.00
_space_group_name_H-M_alt 'P 1'
_space_group_IT_number 1
_space_group_name_Hall 'P 1'
loop_
_atom_site_label
_atom_site_type_symbol
_atom_site_fract_x
_atom_site_fract_y
_atom_site_fract_z
Te1 Te 0.500 0.667 0.659
Ru1 Ru 0.000 0.544 0.500
Br1 Br 0.500 0.320 0.368
Br2 Br 0.000 0.970 0.973
# calculated volume: 110.0 Å³ per cell
# crystal system: monoclinic
# SG: Pm, No. 6
# formation energy (no corrections): -0.33 eV/f.u.
# M_tot: 0.00 μB per cell


Entry 2:
# Tb2CeSm3Te6 GGA-PBE relaxed
data_Tb2CeSm3Te6
_cell_length_a 4.403
_cell_length_b 8.914
_cell_length_c 9.891
_cell_angle_alpha 102.86
_cell_angle_beta 102.86
_cell_angle_gamma 90.00
_space_group_name_H-M_alt 'P 1'
_space_group_IT_number 1
_space_group_name_Hall 'P 1'
loop_
_atom_site_label
_atom_site_type_symbol
_atom_site_fract_x
_atom_site_fract_y
_atom_site_fract_z
Tb1 Tb 0.835 0.670 0.670
Tb2 Tb 0.165 0.330 0.330
Te1 Te 0.669 0.088 0.337
Te2 Te 0.669 0.579 0.338
Te3 Te 0.002 0.254 0.004
Te4 Te 0.331 0.912 0.663
Te5 Te 0.998 0.746 0.996
Te6 Te 0.331 0.421 0.662
Sm1 Sm 0.500 0.500 0.000
Sm2 Sm 0.836 0.167 0.671
Sm3 Sm 0.164 0.833 0.329
Ce1 Ce 0.500 0.000 0.000
# calculated volume: 368.4 Å³ per cell
# crystal system: monoclinic
# SG: C2/m, No. 12
# formation energy (no corrections): -16.31 eV/f.u.
# M_tot: 1.27 μB per cell


Entry 3:
# BAu3Cl GGA-PBE relaxed
data_BAu3Cl
_cell_length_a 4.473
_cell_length_b 4.473
_cell_length_c 4.473
_cell_angle_alpha 90.00
_cell_angle_beta 90.00
_cell_angle_gamma 90.00
_space_group_name_H-M_alt 'P 1'
_space_group_IT_number 1
_space_group_name_Hall 'P 1'
loop_
_atom_site_label
_atom_site_type_symbol
_atom_site_fract_x
_atom_site_fract_y
_atom_site_fract_z
B1 B 0.000 0.000 0.000
Au1 Au 0.000 0.500 0.000
Au2 Au 0.000 0.000 0.500
Au3 Au 0.500 0.000 0.000
Cl1 Cl 0.500 0.500 0.500
# calculated volume: 89.5 Å³ per cell
# crystal system: cubic
# SG: Pm-3m, No. 221
# energy above the most stable polymorph in this dataset: 0.0 meV/atom
# formation energy (no corrections): 2.56 eV/f.u.
# M_tot: 0.00 μB per cell


Entry 4:
# LaMg2Os GGA-PBE relaxed
data_LaMg2Os
_cell_length_a 4.952
_cell_length_b 4.952
_cell_length_c 4.952
_cell_angle_alpha 120.01
_cell_angle_beta 120.01
_cell_angle_gamma 89.98
_space_group_name_H-M_alt 'P 1'
_space_group_IT_number 1
_space_group_name_Hall 'P 1'
loop_
_atom_site_label
_atom_site_type_symbol
_atom_site_fract_x
_atom_site_fract_y
_atom_site_fract_z
Mg1 Mg 0.000 0.000 0.000
Mg2 Mg 0.250 0.750 0.500
Os1 Os 0.500 0.500 0.000
La1 La 0.750 0.250 0.500
# calculated volume: 85.8 Å³ per cell
# E: -18.67 eV/f.u.
# crystal system: cubic
# SG: F-43m, No. 216
# M_tot: 0.00 μB per cell


Entry 5:
# Ho4TmScS8 GGA-PBE relaxed
data_Ho4TmScS8
_cell_length_a 7.934
_cell_length_b 7.934
_cell_length_c 7.927
_cell_angle_alpha 59.97
_cell_angle_beta 59.97
_cell_angle_gamma 60.00
_space_group_name_H-M_alt 'P 1'
_space_group_IT_number 1
_space_group_name_Hall 'P 1'
loop_
_atom_site_label
_atom_site_type_symbol
_atom_site_fract_x
_atom_site_fract_y
_atom_site_fract_z
S1 S 0.245 0.760 0.749
S2 S 0.758 0.758 0.725
S3 S 0.760 0.224 0.256
S4 S 0.247 0.247 0.258
S5 S 0.224 0.760 0.256
S6 S 0.760 0.760 0.256
S7 S 0.245 0.245 0.749
S8 S 0.760 0.245 0.749
Ho1 Ho 0.003 0.491 0.503
Ho2 Ho 0.625 0.625 0.125
Ho3 Ho 0.003 0.003 0.503
Ho4 Ho 0.491 0.003 0.503
Tm1 Tm 0.003 0.003 0.991
Sc1 Sc 0.375 0.375 0.874
# calculated volume: 352.7 Å³ per cell
# crystal system: trigonal
# SG: R3m, No. 160
# formation energy (no corrections): -26.85 eV/f.u.
# M_tot: 0.68 μB per cell


Entry 6:
# GaBiTe GGA-PBE relaxed
data_GaBiTe
_cell_length_a 7.361
_cell_length_b 10.798
_cell_length_c 4.839
_cell_angle_alpha 90.00
_cell_angle_beta 90.00
_cell_angle_gamma 90.00
_space_group_name_H-M_alt 'P 1'
_space_group_IT_number 1
_space_group_name_Hall 'P 1'
loop_
_atom_site_label
_atom_site_type_symbol
_atom_site_fract_x
_atom_site_fract_y
_atom_site_fract_z
Ga1 Ga 0.500 0.000 0.327
Ga2 Ga 0.000 0.000 0.327
Ga3 Ga 0.000 0.500 0.827
Ga4 Ga 0.500 0.500 0.827
Bi1 Bi 0.750 0.139 0.642
Bi2 Bi 0.750 0.361 0.142
Bi3 Bi 0.250 0.861 0.642
Bi4 Bi 0.250 0.639 0.142
Te1 Te 0.750 0.896 0.982
Te2 Te 0.250 0.104 0.982
Te3 Te 0.250 0.396 0.482
Te4 Te 0.750 0.604 0.482
# calculated volume: 384.6 Å³ per cell
# crystal system: orthorhombic
# SG: Ima2, No. 46
# energy above the most stable polymorph in this dataset: 80.7 meV/atom
# formation energy (no corrections): -0.38 eV/f.u.
# M_tot: 0.00 μB per cell


Entry 7:
# In3H4Cl4 GGA-PBE relaxed
data_In3H4Cl4
_cell_length_a 12.755
_cell_length_b 12.755
_cell_length_c 12.755
_cell_angle_alpha 161.01
_cell_angle_beta 149.14
_cell_angle_gamma 36.48
_space_group_name_H-M_alt 'P 1'
_space_group_IT_number 1
_space_group_name_Hall 'P 1'
loop_
_atom_site_label
_atom_site_type_symbol
_atom_site_fract_x
_atom_site_fract_y
_atom_site_fract_z
In1 In 0.308 0.308 0.000
In2 In 0.692 0.692 0.000
In3 In 0.500 0.000 0.500
Cl1 Cl 0.744 0.500 0.244
Cl2 Cl 0.629 0.129 0.500
Cl3 Cl 0.371 0.871 0.500
Cl4 Cl 0.256 0.500 0.756
H1 H 0.046 0.288 0.758
H2 H 0.471 0.712 0.758
H3 H 0.529 0.288 0.242
H4 H 0.954 0.712 0.242
# calculated volume: 345.9 Å³ per cell
# E: -32.44 eV/f.u.
# crystal system: orthorhombic
# SG: Immm, No. 71
# M_tot: 0.00 μB per cell


Entry 8:
# BiPAuO2 GGA-PBE relaxed
data_BiPAuO2
_cell_length_a 4.080
_cell_length_b 4.080
_cell_length_c 5.769
_cell_angle_alpha 90.00
_cell_angle_beta 90.00
_cell_angle_gamma 90.00
_space_group_name_H-M_alt 'P 1'
_space_group_IT_number 1
_space_group_name_Hall 'P 1'
loop_
_atom_site_label
_atom_site_type_symbol
_atom_site_fract_x
_atom_site_fract_y
_atom_site_fract_z
Bi1 Bi 0.000 0.000 0.000
P1 P 0.000 0.000 0.500
O1 O 0.000 0.500 0.000
O2 O 0.500 0.000 0.000
Au1 Au 0.500 0.500 0.500
# calculated volume: 96.0 Å³ per cell
# crystal system: tetragonal
# SG: P4/mmm, No. 123
# energy above the most stable polymorph in this dataset: 0.0 meV/atom
# formation energy (no corrections): 0.93 eV/f.u.
# M_tot: 0.00 μB per cell


Entry 9:
# ZrFeOs GGA-PBE relaxed
data_ZrFeOs
_cell_length_a 4.194
_cell_length_b 4.194
_cell_length_c 4.194
_cell_angle_alpha 60.00
_cell_angle_beta 60.00
_cell_angle_gamma 60.00
_space_group_name_H-M_alt 'P 1'
_space_group_IT_number 1
_space_group_name_Hall 'P 1'
loop_
_atom_site_label
_atom_site_type_symbol
_atom_site_fract_x
_atom_site_fract_y
_atom_site_fract_z
Os1 Os 0.000 0.000 0.000
Fe1 Fe 0.750 0.750 0.750
Zr1 Zr 0.500 0.500 0.500
# calculated volume: 52.2 Å³ per cell
# crystal system: cubic
# SG: F-43m, No. 216
# energy above the most stable polymorph in this dataset: 637.7 meV/atom
# M_tot: 1.65 μB per cell


Entry 10:
# Rb2ReIF6 GGA-PBE relaxed
data_Rb2ReIF6
_cell_length_a 7.258
_cell_length_b 7.258
_cell_length_c 7.257
_cell_angle_alpha 60.00
_cell_angle_beta 60.00
_cell_angle_gamma 90.00
_space_group_name_H-M_alt 'P 1'
_space_group_IT_number 1
_space_group_name_Hall 'P 1'
loop_
_atom_site_label
_atom_site_type_symbol
_atom_site_fract_x
_atom_site_fract_y
_atom_site_fract_z
F1 F 0.189 0.189 0.623
F2 F 0.189 0.189 0.000
F3 F 0.811 0.811 0.000
F4 F 0.811 0.189 0.000
F5 F 0.189 0.811 0.000
F6 F 0.811 0.811 0.377
I1 I 0.500 0.500 0.000
Re1 Re 0.000 0.000 0.000
Rb1 Rb 0.750 0.250 0.500
Rb2 Rb 0.250 0.750 0.500
# calculated volume: 270.3 Å³ per cell
# crystal system: cubic
# SG: Fm-3m, No. 225
# formation energy (no corrections): -20.71 eV/f.u.
# M_tot: 2.00 μB per cell


Entry 11:
# LaIn2Ag GGA-PBE relaxed
data_LaIn2Ag
_cell_length_a 3.581
_cell_length_b 3.581
_cell_length_c 7.856
_cell_angle_alpha 90.00
_cell_angle_beta 90.00
_cell_angle_gamma 90.00
_space_group_name_H-M_alt 'P 1'
_space_group_IT_number 1
_space_group_name_Hall 'P 1'
loop_
_atom_site_label
_atom_site_type_symbol
_atom_site_fract_x
_atom_site_fract_y
_atom_site_fract_z
La1 La 0.500 0.500 0.250
Ag1 Ag 0.500 0.500 0.750
In1 In 0.000 0.000 0.959
In2 In 0.000 0.000 0.541
# calculated volume: 100.7 Å³ per cell
# E: -14.37 eV/f.u.
# crystal system: tetragonal
# SG: P4/mmm, No. 123
# M_tot: 0.00 μB per cell


Entry 12:
# YPIrO2 GGA-PBE relaxed
data_YPIrO2
_cell_length_a 4.057
_cell_length_b 4.057
_cell_length_c 6.192
_cell_angle_alpha 90.00
_cell_angle_beta 90.00
_cell_angle_gamma 90.00
_space_group_name_H-M_alt 'P 1'
_space_group_IT_number 1
_space_group_name_Hall 'P 1'
loop_
_atom_site_label
_atom_site_type_symbol
_atom_site_fract_x
_atom_site_fract_y
_atom_site_fract_z
O1 O 0.000 0.500 0.000
O2 O 0.500 0.000 0.000
Y1 Y 0.000 0.000 0.000
Ir1 Ir 0.500 0.500 0.500
P1 P 0.000 0.000 0.500
# calculated volume: 101.9 Å³ per cell
# crystal system: tetragonal
# SG: P4/mmm, No. 123
# energy above the most stable polymorph in this dataset: 780.0 meV/atom
# formation energy (no corrections): -0.42 eV/f.u.
# M_tot: 3.04 μB per cell


Repeat the eighth record exactly.
# BiPAuO2 GGA-PBE relaxed
data_BiPAuO2
_cell_length_a 4.080
_cell_length_b 4.080
_cell_length_c 5.769
_cell_angle_alpha 90.00
_cell_angle_beta 90.00
_cell_angle_gamma 90.00
_space_group_name_H-M_alt 'P 1'
_space_group_IT_number 1
_space_group_name_Hall 'P 1'
loop_
_atom_site_label
_atom_site_type_symbol
_atom_site_fract_x
_atom_site_fract_y
_atom_site_fract_z
Bi1 Bi 0.000 0.000 0.000
P1 P 0.000 0.000 0.500
O1 O 0.000 0.500 0.000
O2 O 0.500 0.000 0.000
Au1 Au 0.500 0.500 0.500
# calculated volume: 96.0 Å³ per cell
# crystal system: tetragonal
# SG: P4/mmm, No. 123
# energy above the most stable polymorph in this dataset: 0.0 meV/atom
# formation energy (no corrections): 0.93 eV/f.u.
# M_tot: 0.00 μB per cell


Question: Look up the M_tot of the third one.
Answer: 0.00 μB per cell